Computed, not measured: BaTl2CoO4 after structural relaxation at the GGA+U level of DFT.

Lattice parameters (Å, degrees): 6.539 6.539 12.007 90.00 90.00 147.51
Fractional positions:
Ba1 0.078 0.922 0.750
Ba2 0.922 0.078 0.250
Tl1 0.372 0.628 0.540
Tl2 0.372 0.628 0.960
Tl3 0.628 0.372 0.040
Tl4 0.628 0.372 0.460
Co1 0.195 0.805 0.250
Co2 0.805 0.195 0.750
O1 0.000 0.000 0.000
O2 0.000 0.000 0.500
O3 0.303 0.697 0.136
O4 0.303 0.697 0.364
O5 0.386 0.614 0.750
O6 0.614 0.386 0.250
O7 0.697 0.303 0.636
O8 0.697 0.303 0.864

The symmetry is Cmcm (63). For the total DFT energy (no corrections), the calculation gives -80.76 eV for the cell shown.